(A)
VASP calculation (PBE) on SbOs3N after structural relaxation.

a b c (Å): 4.1552 4.1552 4.1552
angles (deg): 90.00 90.00 90.00
Last column: nearest neighbours and their distance in Å.
Space group Pm-3m (No. 221)
One atom of each set of equivalent atoms:
Sb 0.0000 0.0000 0.0000 (multiplicity 1)  12 Os 2.94
Os 0.0000 0.5000 0.5000 (multiplicity 3)  2 N 2.08
N 0.5000 0.5000 0.5000 (multiplicity 1)  6 Os 2.08

Results
ρ: 16.35 g/cm³


(B)
VASP calculation (PBE) on SbOs3N after structural relaxation.

a b c (Å): 4.8607 4.8607 4.8607
angles (deg): 90.00 90.00 90.00
Last column: nearest neighbours and their distance in Å.
Space group Pm-3m (No. 221)
One atom of each set of equivalent atoms:
Sb 0.0000 0.0000 0.0000 (multiplicity 1)  6 Os 2.43
Os 0.0000 0.0000 0.5000 (multiplicity 3)  2 Sb 2.43
N 0.5000 0.5000 0.5000 (multiplicity 1)  12 Os 3.44

Results
ρ: 10.21 g/cm³


Energy above the most stable structure, in eV/atom: (A) 0.000; (B) 2.922


(A)
VASP calculation (PBE) on Sb3OsN after structural relaxation.

a b c (Å): 5.0872 5.0872 5.0872
angles (deg): 90.00 90.00 90.00
Last column: nearest neighbours and their distance in Å.
Space group Pm-3m (No. 221)
One atom of each set of equivalent atoms:
Sb 0.0000 0.0000 0.5000 (multiplicity 3)  2 Os 2.54
Os 0.0000 0.0000 0.0000 (multiplicity 1)  6 Sb 2.54
N 0.5000 0.5000 0.5000 (multiplicity 1)  12 Sb 3.60

Results
ρ: 7.18 g/cm³


(B)
VASP calculation (PBE) on Sb3OsN after structural relaxation.

a b c (Å): 4.5500 4.5500 4.5500
angles (deg): 90.00 90.00 90.00
Last column: nearest neighbours and their distance in Å.
Space group Pm-3m (No. 221)
One atom of each set of equivalent atoms:
Sb 0.0000 0.0000 0.5000 (multiplicity 3)  2 N 2.27
Os 0.5000 0.5000 0.5000 (multiplicity 1)  12 Sb 3.22
N 0.0000 0.0000 0.0000 (multiplicity 1)  6 Sb 2.27

Results
ρ: 10.04 g/cm³


Energy above the most stable structure, in eV/atom: (A) 0.626; (B) 0.000


(A)
VASP calculation (PBE) on SbOs2N2 after structural relaxation.

a b c (Å): 3.8697 3.8697 9.6533
angles (deg): 90.00 90.00 90.00
Last column: nearest neighbours and their distance in Å.
Space group I4/mmm (No. 139)
One atom of each set of equivalent atoms:
Sb 0.0000 0.0000 0.0000 (multiplicity 2)  8 Os 3.09, 10 N 3.16-3.25
Os 0.0000 0.5000 0.2500 (multiplicity 4)  4 N 2.11
N 0.0000 0.0000 0.3366 (multiplicity 4)  4 Os 2.11

Results
ρ: 12.18 g/cm³


(B)
VASP calculation (PBE) on SbOs2N2 after structural relaxation.

a b c (Å): 7.1465 7.1465 2.7470
angles (deg): 90.00 90.00 90.00
Last column: nearest neighbours and their distance in Å.
Space group P4/mbm (No. 127)
One atom of each set of equivalent atoms:
Sb 0.0000 0.0000 0.0000 (multiplicity 2)  2 Sb 2.75, 4 N 2.87
Os 0.1234 0.3766 0.5000 (multiplicity 4)  4 N 2.19
N 0.1145 0.6145 0.0000 (multiplicity 4)  4 Os 2.19, 1 N 2.32

Results
ρ: 12.55 g/cm³


Energy above the most stable structure, in eV/atom: (A) 0.000; (B) 0.537


(A)
VASP calculation (PBE) on SbOsSeN2 after structural relaxation.

a b c (Å): 3.9174 3.9174 5.3195
angles (deg): 90.00 90.00 90.00
Last column: nearest neighbours and their distance in Å.
Space group P4/mmm (No. 123)
One atom of each set of equivalent atoms:
Sb 0.0000 0.0000 0.0000 (multiplicity 1)  4 Se 2.77
Os 0.5000 0.5000 0.5000 (multiplicity 1)  4 N 1.96
Se 0.5000 0.5000 0.0000 (multiplicity 1)  2 Os 2.66, 4 Sb 2.77
N 0.0000 0.5000 0.5000 (multiplicity 2)  2 Os 1.96

Results
ρ: 8.52 g/cm³


(B)
VASP calculation (PBE) on SbOsSeN2 after structural relaxation.

a b c (Å): 3.9336 3.9336 5.8034
angles (deg): 90.00 90.00 90.00
Last column: nearest neighbours and their distance in Å.
Space group P4/mmm (No. 123)
One atom of each set of equivalent atoms:
Sb 0.0000 0.0000 0.0000 (multiplicity 1)  4 N 1.97
Os 0.5000 0.5000 0.5000 (multiplicity 1)  4 Se 2.78
Se 0.0000 0.0000 0.5000 (multiplicity 1)  4 Os 2.78, 2 Sb 2.90
N 0.0000 0.5000 0.0000 (multiplicity 2)  2 Sb 1.97

Results
ρ: 7.75 g/cm³


Energy above the most stable structure, in eV/atom: (A) 0.000; (B) 1.208


(A)
VASP calculation (PBE) on TaSb2OsN after structural relaxation.

a b c (Å): 4.9997 4.9997 4.9541
angles (deg): 90.00 90.00 90.00
Last column: nearest neighbours and their distance in Å.
Space group P4/mmm (No. 123)
One atom of each set of equivalent atoms:
Ta 0.0000 0.0000 0.0000 (multiplicity 1)  2 Os 2.48
Sb 0.0000 0.5000 0.5000 (multiplicity 2)  2 Os 2.50
Os 0.0000 0.0000 0.5000 (multiplicity 1)  2 Ta 2.48, 4 Sb 2.50
N 0.5000 0.5000 0.0000 (multiplicity 1)  8 Sb 3.52, 4 Ta 3.54

Results
ρ: 8.43 g/cm³


(B)
VASP calculation (PBE) on TaSb2OsN after structural relaxation.

a b c (Å): 5.3939 5.3939 3.6140
angles (deg): 90.00 90.00 90.00
Last column: nearest neighbours and their distance in Å.
Space group P4/mmm (No. 123)
One atom of each set of equivalent atoms:
Ta 0.0000 0.0000 0.0000 (multiplicity 1)  8 Sb 3.25, 2 Ta 3.61
Sb 0.0000 0.5000 0.5000 (multiplicity 2)  2 Os 2.70
Os 0.5000 0.5000 0.5000 (multiplicity 1)  2 N 1.81
N 0.5000 0.5000 0.0000 (multiplicity 1)  2 Os 1.81

Results
ρ: 9.93 g/cm³


Energy above the most stable structure, in eV/atom: (A) 1.128; (B) 0.000


(A)
VASP calculation (PBE) on SbTeOsN2 after structural relaxation.

a b c (Å): 3.9205 3.9205 6.9925
angles (deg): 90.00 90.00 90.00
Last column: nearest neighbours and their distance in Å.
Space group P4/mmm (No. 123)
One atom of each set of equivalent atoms:
Sb 0.0000 0.0000 0.0000 (multiplicity 1)  4 N 1.96
Te 0.0000 0.0000 0.5000 (multiplicity 1)  4 Os 2.77
Os 0.5000 0.5000 0.5000 (multiplicity 1)  4 Te 2.77
N 0.0000 0.5000 0.0000 (multiplicity 2)  2 Sb 1.96

Results
ρ: 7.22 g/cm³


(B)
VASP calculation (PBE) on SbTeOsN2 after structural relaxation.

a b c (Å): 3.9800 3.9800 5.7786
angles (deg): 90.00 90.00 90.00
Last column: nearest neighbours and their distance in Å.
Space group P4/mmm (No. 123)
One atom of each set of equivalent atoms:
Sb 0.0000 0.0000 0.0000 (multiplicity 1)  4 Te 2.81
Te 0.5000 0.5000 0.0000 (multiplicity 1)  4 Sb 2.81, 2 Os 2.89
Os 0.5000 0.5000 0.5000 (multiplicity 1)  4 N 1.99
N 0.0000 0.5000 0.5000 (multiplicity 2)  2 Os 1.99

Results
ρ: 8.48 g/cm³


Energy above the most stable structure, in eV/atom: (A) 1.006; (B) 0.000


(A)
VASP calculation (PBE) on Sb2TeOsN after structural relaxation.

a b c (Å): 4.5768 4.5768 4.5406
angles (deg): 90.00 90.00 90.00
Last column: nearest neighbours and their distance in Å.
Space group P4/mmm (No. 123)
One atom of each set of equivalent atoms:
Sb 0.0000 0.5000 0.0000 (multiplicity 2)  2 N 2.29
Te 0.0000 0.0000 0.5000 (multiplicity 1)  2 N 2.27
Os 0.5000 0.5000 0.5000 (multiplicity 1)  8 Sb 3.22, 4 Te 3.24
N 0.0000 0.0000 0.0000 (multiplicity 1)  2 Te 2.27, 4 Sb 2.29

Results
ρ: 10.04 g/cm³


(B)
VASP calculation (PBE) on Sb2TeOsN after structural relaxation.

a b c (Å): 5.0741 5.0741 5.2306
angles (deg): 90.00 90.00 90.00
Last column: nearest neighbours and their distance in Å.
Space group P4/mmm (No. 123)
One atom of each set of equivalent atoms:
Sb 0.0000 0.5000 0.0000 (multiplicity 2)  2 Os 2.54
Te 0.0000 0.0000 0.5000 (multiplicity 1)  2 Os 2.62
Os 0.0000 0.0000 0.0000 (multiplicity 1)  4 Sb 2.54, 2 Te 2.62
N 0.5000 0.5000 0.5000 (multiplicity 1)  4 Te 3.59, 8 Sb 3.64

Results
ρ: 7.09 g/cm³


Energy above the most stable structure, in eV/atom: (A) 0.000; (B) 0.627